# Ac2TiFeO6 PBE with a Hubbard U optimized geometry
# D(E_F), states/eV/f.u.: 2.58
# Electronic total energy, eV per atom: -7.83
# Magnetic moment, μB/cell: 1.00
data_Ac2TiFeO6
_chemical_formula_sum 'Ac2 Ti1 Fe1 O6'
_space_group_name_H-M_alt 'P 4/m m m'
_space_group_IT_number 123
_space_group_name_Hall '-P 4 2'
_cell_length_a 5.5794
_cell_length_b 5.5794
_cell_length_c 4.0376
_cell_angle_alpha 90.00
_cell_angle_beta 90.00
_cell_angle_gamma 90.00
loop_
_atom_site_label
_atom_site_type_symbol
_atom_site_fract_x
_atom_site_fract_y
_atom_site_fract_z
Ac1 Ac 0.0000 0.5000 0.0000
Ti1 Ti 0.0000 0.0000 0.5000
Fe1 Fe 0.5000 0.5000 0.5000
O1 O 0.0000 0.0000 0.0000
O2 O 0.2456 0.2456 0.5000
O3 O 0.5000 0.5000 0.0000